A plane-wave DFT calculation with GGA-PBE was carried out for a relaxed structure of TiAgN2O.

abc: 3.9725 3.9725 3.9067
angles: 90.00 90.00 90.00
Last column: nearest neighbours and their distance in Å.
Positions (direct):
Ti 0.0000 0.0000 0.0000  8 N 2.79, 4 O 2.81
Ag 0.5000 0.5000 0.5000  2 O 1.95, 4 N 1.99
N 0.0000 0.5000 0.5000  2 Ag 1.99
N 0.5000 0.0000 0.5000  2 Ag 1.99
O 0.5000 0.5000 0.0000  2 Ag 1.95

Computed properties:
Its space group is P4/mmm (123). The volume is 61.6 Å³ per cell.

A plane-wave DFT calculation with GGA-PBE was carried out for a relaxed structure of TiAgNO2.

abc: 3.9571 3.9571 4.0035
angles: 90.00 90.00 90.00
Last column: nearest neighbours and their distance in Å.
Positions (direct):
Ti 0.0000 0.0000 0.0000  4 N 2.80, 8 O 2.81
Ag 0.5000 0.5000 0.5000  4 O 1.98, 2 N 2.00
N 0.5000 0.5000 0.0000  2 Ag 2.00
O 0.0000 0.5000 0.5000  2 Ag 1.98
O 0.5000 0.0000 0.5000  2 Ag 1.98

Computed properties:
Its space group is P4/mmm (123). The volume is 62.7 Å³ per cell.

Here are the calculated calculated total energy numbers, same order: -5.264; -5.221 (eV per atom).